VASP calculation (PBE) on a relaxed Na5Np3F12 crystal.

Output
Formation energy (no corrections)   -2.813 eV per atom

Unit cell a=11.892 b=11.892 c=11.892 alpha=109.47 beta=109.47 gamma=109.47
Element x y z (fractional)
Na 0.000 0.000 0.000
Na 0.000 0.000 0.500
Na 0.000 0.500 0.000
Na 0.000 0.500 0.500
Na 0.125 0.750 0.875
Na 0.125 0.875 0.250
Na 0.250 0.125 0.875
Na 0.250 0.625 0.375
Na 0.375 0.250 0.625
Na 0.375 0.625 0.750
Na 0.500 0.000 0.000
Na 0.500 0.000 0.500
Na 0.500 0.500 0.000
Na 0.500 0.500 0.500
Na 0.625 0.375 0.250
Na 0.625 0.750 0.375
Na 0.750 0.375 0.625
Na 0.750 0.875 0.125
Na 0.875 0.125 0.750
Na 0.875 0.250 0.125
Np 0.125 0.250 0.375
Np 0.125 0.375 0.750
Np 0.250 0.375 0.125
Np 0.250 0.875 0.625
Np 0.375 0.125 0.250
Np 0.375 0.750 0.125
Np 0.625 0.250 0.875
Np 0.625 0.875 0.750
Np 0.750 0.125 0.375
Np 0.750 0.625 0.875
Np 0.875 0.625 0.250
Np 0.875 0.750 0.625
F 0.051 0.224 0.137
F 0.051 0.326 0.914
F 0.086 0.637 0.412
F 0.086 0.949 0.674
F 0.088 0.724 0.674
F 0.088 0.863 0.414
F 0.137 0.051 0.224
F 0.137 0.586 0.912
F 0.174 0.224 0.588
F 0.174 0.449 0.586
F 0.224 0.137 0.051
F 0.224 0.588 0.174
F 0.276 0.326 0.912
F 0.276 0.449 0.363
F 0.326 0.912 0.276
F 0.326 0.914 0.051
F 0.363 0.276 0.449
F 0.363 0.588 0.914
F 0.412 0.086 0.637
F 0.412 0.826 0.776
F 0.414 0.088 0.863
F 0.414 0.826 0.551
F 0.449 0.363 0.276
F 0.449 0.586 0.174
F 0.551 0.414 0.826
F 0.551 0.637 0.724
F 0.586 0.174 0.449
F 0.586 0.912 0.137
F 0.588 0.174 0.224
F 0.588 0.914 0.363
F 0.637 0.412 0.086
F 0.637 0.724 0.551
F 0.674 0.086 0.949
F 0.674 0.088 0.724
F 0.724 0.551 0.637
F 0.724 0.674 0.088
F 0.776 0.412 0.826
F 0.776 0.863 0.949
F 0.826 0.551 0.414
F 0.826 0.776 0.412
F 0.863 0.414 0.088
F 0.863 0.949 0.776
F 0.912 0.137 0.586
F 0.912 0.276 0.326
F 0.914 0.051 0.326
F 0.914 0.363 0.588
F 0.949 0.674 0.086
F 0.949 0.776 0.863